This record from Alexandria describes Pr4CrS7 after structural relaxation. The functional is PBE-GGA.

It has space group P6_3 (No. 173), with a = 9.9555 Å, b = 9.9555 Å, c = 6.8678 Å, α = 90.00°, β = 90.00° and γ = 120.00°. The asymmetric unit holds Pr at (0.1578, 0.3752, 0.0000), Pr at (0.3333, 0.6667, 0.4530), Cr at (0.0000, 0.0000, 0.3310), S at (0.0705, 0.5588, 0.2402), S at (0.1004, 0.2289, 0.5993) and S at (0.3333, 0.6667, 0.8411).

The energy relative to the elements, uncorrected is -1678.2 meV/atom. The value obtained for the calculated density is 4.73 g/cm³. Its total energy is -6.48 eV/atom. The value obtained for the offset from the most stable computed form is 0.0 meV per atom.